1.
# Ba3CaSn2

A geometry-optimized Ba3CaSn2 structure (PBE, Alexandria via LeMat-Bulk).

a b c (Å): 7.927 7.571 10.233
angles (deg): 111.71 112.79 90.00
Sites, in units of the cell vectors:
Sn  0.655  0.883  0.765
Ba  0.500  0.750  0.000
Sn  0.890  0.617  0.235
Ba  0.033  0.817  0.634
Ba  0.399  0.683  0.366
Ca  0.000  0.250  0.000
Ba  0.601  0.317  0.634
Ca  0.000  0.750  0.000
Sn  0.345  0.117  0.235
Ba  0.500  0.250  0.000
Sn  0.110  0.383  0.765
Ba  0.967  0.183  0.366

Summary:
The density of states at the Fermi level comes out at 0.03 states/eV/atom. The calculation puts the energy of formation from the pure elements at -0.59 eV/atom. The value obtained for the total energy is -3.220 eV per atom.

---

2.
# TiAlBr3

A geometry-optimized TiAlBr3 structure (PBE, Alexandria via LeMat-Bulk).

a b c (Å): 5.240 5.240 5.240
angles (deg): 90.00 90.00 90.00
Sites, in units of the cell vectors:
Ti  0.500  0.500  0.500
Br  0.000  0.000  0.500
Br  0.000  0.500  0.000
Br  0.500  0.000  0.000
Al  0.000  0.000  0.000

Summary:
The value obtained for the relative energy among the computed polymorphs is 12.08 kcal/mol of atoms. The density of states at the Fermi level comes out at 1.14 states/eV/atom. Its formation energy from raw total energies is 0.02 eV per atom. The value obtained for the total energy is -3.316 eV per atom.

---

In the order shown, the computed spin magnetization values come out to 0.00, 0.57 μB/atom.